An optimized crystal structure of Na5ZrSe4, computed with GGA-PBE.

total energy = -39.317 eV/cell
space group = C2/m (12)
total magnetic moment = 1.0 Bohr magnetons per cell
formation energy from raw total energies = -1.024 eV per atom

```
Na5ZrSe4
1.0
-3.162 0.746 2.771
3.928 -3.830 5.513
3.144 8.314 -1.939
Se Na Zr
4 5 1
direct
0.316 0.816 0.632
0.000 0.240 0.000
0.000 0.760 0.000
0.684 0.184 0.368
0.175 0.415 0.349
0.500 0.500 0.000
0.825 0.585 0.651
0.825 0.064 0.650
0.175 0.936 0.350
0.500 0.000 0.000
```